Entry 1:
Computed, not measured: a geometry-optimized LiTePbAuSe2 structure at the PBE level of DFT.

a b c (Å): 6.771 6.771 12.034
angles (deg): 90.00 90.00 145.70
Positions (direct):
Au 0.527 0.473 0.250
Au 0.473 0.527 0.750
Li 0.187 0.813 0.250
Li 0.813 0.187 0.750
Pb 0.000 0.000 0.000
Pb 0.000 0.000 0.500
Se 0.660 0.340 0.085
Se 0.660 0.340 0.415
Se 0.340 0.660 0.585
Se 0.340 0.660 0.915
Te 0.884 0.116 0.250
Te 0.116 0.884 0.750

=====

Entry 2:
Computed, not measured: a geometry-optimized CsLuFeS3 structure at the PBE level of DFT.

Output
M_tot (μB per cell): 16.05

a b c (Å): 10.506 3.962 14.477
angles (deg): 90.00 90.00 90.00
Last column: magnetic moment on the atom in μB.
Positions (direct):
Cs 0.975 0.250 0.157  0.01
Cs 0.475 0.250 0.343  0.01
Cs 0.525 0.750 0.657  0.01
Cs 0.025 0.750 0.843  0.01
Fe 0.653 0.750 0.133  3.19
Fe 0.153 0.750 0.367  3.19
Fe 0.847 0.250 0.633  3.19
Fe 0.347 0.250 0.867  3.19
Lu 0.353 0.750 0.069  0.06
Lu 0.853 0.750 0.431  0.06
Lu 0.147 0.250 0.569  0.06
Lu 0.647 0.250 0.931  0.06
S 0.784 0.750 0.005  0.09
S 0.530 0.250 0.107  0.10
S 0.241 0.750 0.226  0.13
S 0.741 0.750 0.274  0.14
S 0.030 0.250 0.393  0.10
S 0.284 0.750 0.495  0.09
S 0.716 0.250 0.505  0.09
S 0.970 0.750 0.607  0.10
S 0.259 0.250 0.726  0.14
S 0.759 0.250 0.774  0.13
S 0.470 0.750 0.893  0.10
S 0.216 0.250 0.995  0.09

=====

Entry 3:
Computed, not measured: a geometry-optimized Tb5Tl2Bi2 structure at the PBE level of DFT.

Output
M_tot (μB per cell): 1.37

a b c (Å): 8.926 8.926 8.241
angles (deg): 90.00 90.00 55.01
Last column: magnetic moment on the atom in μB.
Positions (direct):
Bi 0.295 0.295 0.000  -0.01
Bi 0.705 0.705 0.000  -0.01
Bi 0.205 0.205 0.500  -0.01
Bi 0.795 0.795 0.500  -0.01
Tb 0.500 0.500 0.000  0.10
Tb 0.697 0.034 0.166  0.07
Tb 0.966 0.303 0.166  0.08
Tb 0.197 0.534 0.334  0.08
Tb 0.466 0.803 0.334  0.09
Tb 0.000 0.000 0.500  0.10
Tb 0.534 0.197 0.666  0.09
Tb 0.803 0.466 0.666  0.08
Tb 0.034 0.697 0.834  0.08
Tb 0.303 0.966 0.834  0.07
Tl 0.133 0.867 0.132  0.01
Tl 0.633 0.367 0.368  0.01
Tl 0.367 0.633 0.632  0.01
Tl 0.867 0.133 0.868  0.01

=====

Total DFT energy (no corrections) values, unit eV per atom, following the record order: -3.4636 -5.6040 -4.5990.